42
Lattice="-5.114 3.004 0.334 -0.733 -0.610 -5.869 -3.419 -12.085 4.658" Properties=species:S:1:pos:R:3 comment="LiFe8O12 PBE with a Hubbard U optimized geometry" e_tot_ev_per_atom=-6.40 vol_a3_per_cell=450.02 pbc="T T T"
Li -0.367 -0.305 -2.934
Li -4.266 -4.540 2.496
Fe -2.378 -7.040 0.985
Fe -4.563 -7.514 -1.705
Fe -7.117 -6.020 -1.538
Fe -6.006 -7.348 1.512
Fe -4.162 -10.002 0.008
Fe -3.788 -9.686 2.954
Fe -7.415 -9.550 -1.116
Fe -2.924 1.197 -2.767
Fe -1.851 -0.141 0.239
Fe -5.478 -0.005 -3.831
Fe -5.104 0.311 -0.885
Fe -3.261 -2.343 -2.388
Fe -2.150 -3.671 0.662
Fe -4.703 -2.177 0.828
Fe -6.889 -2.651 -1.862
Fe -4.633 -4.845 -0.438
O -5.283 -6.315 2.954
O -5.685 -6.650 -0.273
O -2.739 -7.826 2.757
O -3.144 -8.171 -0.436
O -5.418 -9.239 -1.417
O -8.172 -7.652 -1.230
O -7.880 -7.434 1.727
O -5.222 -9.117 1.564
O -5.204 -11.610 0.381
O -4.848 -11.321 3.178
O -4.419 1.630 -4.054
O -4.062 1.920 -1.257
O -1.386 -2.257 -2.604
O -4.044 -0.574 -2.441
O -3.849 -0.452 0.540
O -1.094 -2.039 0.354
O -6.122 -1.520 -0.440
O -6.527 -1.864 -3.634
O -3.581 -3.040 -0.603
O -3.983 -3.376 -3.831
O -5.629 -3.874 1.058
O -3.153 -5.319 0.897
O -3.638 -5.817 -1.935
O -6.113 -4.372 -1.773